Record 1
Here is KScTa2 after structural relaxation from Alexandria. Energies are from PBE-GGA.

The structure in CIF format:
```
data_KScTa2
_chemical_formula_sum 'K1 Sc1 Ta2'
_symmetry_space_group_name_H-M 'P 4/m m m'
_symmetry_Int_Tables_number 123
_symmetry_space_group_name_Hall '-P 4 2'
_cell_length_a 2.975
_cell_length_b 2.975
_cell_length_c 10.892
_cell_angle_alpha 90.00
_cell_angle_beta 90.00
_cell_angle_gamma 90.00
loop_
_atom_site_label
_atom_site_type_symbol
_atom_site_fract_x
_atom_site_fract_y
_atom_site_fract_z
K1 K 0.000 0.000 0.000
Sc1 Sc 0.000 0.000 0.500
Ta1 Ta 0.500 0.500 0.302
```

Calculated values
* energy above the most stable polymorph in this dataset: 209.4 meV/atom

=====

Record 2
Here is Ta2InSi after structural relaxation from Alexandria. Energies are from PBE-GGA.

The structure in CIF format:
```
data_Ta2InSi
_chemical_formula_sum 'Ta2 In1 Si1'
_symmetry_space_group_name_H-M 'P 4/m m m'
_symmetry_Int_Tables_number 123
_symmetry_space_group_name_Hall '-P 4 2'
_cell_length_a 3.121
_cell_length_b 3.121
_cell_length_c 7.410
_cell_angle_alpha 90.00
_cell_angle_beta 90.00
_cell_angle_gamma 90.00
loop_
_atom_site_label
_atom_site_type_symbol
_atom_site_fract_x
_atom_site_fract_y
_atom_site_fract_z
Ta1 Ta 0.000 0.000 0.200
In1 In 0.500 0.500 0.500
Si1 Si 0.500 0.500 0.000
```

Calculated values
* formation energy without anion corrections: 34 meV per atom